[1]
Compound: Na2TlRhS
Source: Alexandria via LeMat-Bulk
Functional: PBE
Structure: optimized geometry

Computed properties:
Raw formation energy, eV/atom: 0.871
Density of states at the Fermi level, states/eV/f.u.: 5.82

Lattice parameters (Å, degrees): 5.8657 4.9778 5.8657 90.00 90.00 90.00
Closest atoms and distances in Å follow each position.
Atoms (fractional coordinates):
Na 0.0000 0.0000 0.5000  2 Tl 2.93
Na 0.5000 0.0000 0.0000  2 Tl 2.93
Tl 0.0000 0.0000 0.0000  2 S 2.49
Rh 0.5000 0.5000 0.5000  8 Na 3.85, 4 S 4.15
S 0.0000 0.5000 0.0000  2 Tl 2.49


[2]
Compound: Eu3Ga
Source: Alexandria via LeMat-Bulk
Functional: PBE
Structure: optimized geometry

Computed properties:
Formation enthalpy at 0 K, meV/atom: -211
Density of states at the Fermi level, states/eV/f.u.: 13.13

Lattice parameters (Å, degrees): 3.8762 5.6321 7.0749 113.46 105.90 90.00
Closest atoms and distances in Å follow each position.
Atoms (fractional coordinates):
Eu 0.2988 0.7155 0.5976  2 Ga 3.16
Eu 0.5000 0.4167 0.0000  4 Ga 3.42, 4 Eu 3.76
Eu 0.7012 0.1179 0.4024  2 Ga 3.16
Ga 0.0000 0.9167 0.0000  8 Eu 3.16-3.42


[3]
Compound: NbTeSe2
Source: Alexandria via LeMat-Bulk
Functional: PBE
Structure: optimized geometry

Computed properties:
Raw formation energy, eV/atom: 0.107
Density of states at the Fermi level, states/eV/f.u.: 7.11

Lattice parameters (Å, degrees): 6.8728 6.8728 7.1234 61.16 61.16 90.00
Closest atoms and distances in Å follow each position.
Atoms (fractional coordinates):
Nb 0.5000 0.5000 0.0000  4 Se 2.47
Nb 0.2500 0.7500 0.5000  4 Se 2.47
Te 0.0000 0.0000 0.0000  4 Se 3.10
Te 0.7500 0.2500 0.5000  4 Se 3.10
Se 0.5516 0.1250 0.2500  2 Nb 2.47
Se 0.1984 0.6250 0.2500  2 Nb 2.47
Se 0.3750 0.4484 0.7500  2 Nb 2.47
Se 0.8750 0.8016 0.7500  2 Nb 2.47


[4]
Compound: Al2FeMo
Source: Alexandria via LeMat-Bulk
Functional: PBE
Structure: optimized geometry

Computed properties:
Formation enthalpy at 0 K, meV/atom: -192
Density of states at the Fermi level, states/eV/f.u.: 2.11

Lattice parameters (Å, degrees): 3.0274 3.0274 6.0402 90.00 90.00 90.00
Closest atoms and distances in Å follow each position.
Atoms (fractional coordinates):
Mo 0.5000 0.5000 0.7362  4 Fe 2.62, 5 Al 2.67-2.77
Fe 0.0000 0.0000 0.4873  4 Al 2.49, 4 Mo 2.62
Al 0.0000 0.0000 0.9996  4 Mo 2.67, 4 Al 2.72, 1 Fe 2.95
Al 0.5000 0.5000 0.2769  4 Fe 2.49, 4 Al 2.72, 1 Mo 2.77


[5]
Compound: YMnTe2
Source: Alexandria via LeMat-Bulk
Functional: PBE
Structure: optimized geometry

Computed properties:
Raw formation energy, eV/atom: -0.717
Density of states at the Fermi level, states/eV/f.u.: 0.63

Lattice parameters (Å, degrees): 7.5901 7.5901 7.5901 31.77 31.77 31.77
Closest atoms and distances in Å follow each position.
Atoms (fractional coordinates):
Mn 0.6679 0.6679 0.6679  6 Te 2.86-2.91
Te 0.0735 0.0735 0.0735  3 Mn 2.86, 3 Y 3.14
Te 0.2580 0.2580 0.2580  3 Mn 2.91, 3 Y 3.10
Y 0.5006 0.5006 0.5006  6 Te 3.10-3.14


[6]
Compound: La3ThIn2
Source: Alexandria via LeMat-Bulk
Functional: PBE
Structure: optimized geometry

Computed properties:
Formation enthalpy at 0 K, meV/atom: -322
Density of states at the Fermi level, states/eV/f.u.: 5.68

Lattice parameters (Å, degrees): 3.6379 3.6379 14.2622 90.00 90.00 90.00
Closest atoms and distances in Å follow each position.
Atoms (fractional coordinates):
La 0.0000 0.0000 0.0000  8 In 3.45, 4 La 3.64
La 0.0000 0.0000 0.6765  4 In 3.46, 4 Th 3.60, 4 La 3.64
La 0.0000 0.0000 0.3235  4 In 3.46, 4 Th 3.60, 4 La 3.64
Th 0.5000 0.5000 0.5000  8 La 3.60, 4 Th 3.64
In 0.5000 0.5000 0.8391  8 La 3.45-3.46, 4 In 3.64
In 0.5000 0.5000 0.1609  8 La 3.45-3.46, 4 In 3.64


[7]
Compound: LaNi4Ge4
Source: Alexandria via LeMat-Bulk
Functional: PBE
Structure: optimized geometry

Computed properties:
Formation enthalpy at 0 K, meV/atom: -379
Density of states at the Fermi level, states/eV/f.u.: 4.48

Lattice parameters (Å, degrees): 4.5759 8.1444 8.1444 90.00 90.00 90.00
Closest atoms and distances in Å follow each position.
Atoms (fractional coordinates):
La 0.0000 0.0000 0.0000  4 Ni 3.03, 4 Ge 3.33
La 0.5000 0.5000 0.5000  4 Ni 3.03, 4 Ge 3.33
Ni 0.5001 0.8257 0.3192  5 Ge 2.32-2.58
Ni 0.5001 0.1743 0.6808  5 Ge 2.32-2.58
Ni 0.0001 0.8192 0.6743  5 Ge 2.32-2.58
Ni 0.9999 0.3257 0.8192  5 Ge 2.32-2.58
Ni 0.9999 0.6743 0.1808  5 Ge 2.32-2.58
Ni 0.4999 0.3192 0.1743  5 Ge 2.32-2.58
Ni 0.4999 0.6808 0.8257  5 Ge 2.32-2.58
Ni 0.0001 0.1808 0.3257  5 Ge 2.32-2.58
Ge 0.4999 0.3702 0.8874  5 Ni 2.32-2.58
Ge 0.9999 0.6126 0.8702  5 Ni 2.32-2.58
Ge 0.4999 0.6298 0.1126  5 Ni 2.32-2.58
Ge 0.0001 0.1298 0.6126  5 Ni 2.32-2.58
Ge 0.5001 0.8874 0.6298  5 Ni 2.32-2.58
Ge 0.0001 0.8702 0.3874  5 Ni 2.32-2.58
Ge 0.9999 0.3874 0.1298  5 Ni 2.32-2.58
Ge 0.5001 0.1126 0.3702  5 Ni 2.32-2.58


[8]
Compound: Zn2Pt8W
Source: Alexandria via LeMat-Bulk
Functional: PBE
Structure: optimized geometry

Computed properties:
Formation enthalpy at 0 K, meV/atom: -322
Density of states at the Fermi level, states/eV/f.u.: 8.98

Lattice parameters (Å, degrees): 3.9751 6.2750 7.3468 106.10 105.70 90.00
Closest atoms and distances in Å follow each position.
Atoms (fractional coordinates):
Zn 0.2216 0.6365 0.4433  10 Pt 2.69-2.84, 2 Zn 2.88
Zn 0.7784 0.3635 0.5567  10 Pt 2.69-2.84, 2 Zn 2.88
Pt 0.5971 0.4480 0.1941  3 Zn 2.69-2.76, 1 W 2.75, 8 Pt 2.76-3.00
Pt 0.3185 0.0781 0.6370  3 Zn 2.71-2.84, 1 W 2.75, 8 Pt 2.75-2.87
Pt 0.1364 0.1809 0.2728  7 Pt 2.76-2.83, 3 Zn 2.76-2.82, 2 W 2.77
Pt 0.0447 0.7270 0.0894  1 Zn 2.72, 9 Pt 2.76-2.88, 2 W 2.81
Pt 0.8636 0.8191 0.7272  7 Pt 2.76-2.83, 3 Zn 2.76-2.82, 2 W 2.77
Pt 0.6815 0.9219 0.3630  3 Zn 2.71-2.84, 1 W 2.75, 8 Pt 2.75-2.87
Pt 0.4029 0.5520 0.8059  3 Zn 2.69-2.76, 1 W 2.75, 8 Pt 2.76-3.00
Pt 0.9553 0.2730 0.9106  1 Zn 2.72, 9 Pt 2.76-2.88, 2 W 2.81
W 0.5000 0.0000 0.0000  12 Pt 2.75-2.81


E_tot in eV/atom, matching the order above: -2.43 -8.67 -4.94 -6.89 -6.20 -4.94 -5.55 -6.12